{
  "formula": "K2ErHfTe4",
  "functional": "PBE",
  "state": "optimized geometry",
  "mass_density_g_cm3": 5.81,
  "formation_energy_uncorrected_kj_per_mol_fu": -856.7,
  "dos_ef_per_ev_atom": 0.363,
  "lattice_angstrom": [[7.497, 0.000, 0.000], [0.000, 4.291, 0.000], [-2.456, 0.000, 8.300]],
  "species": ["K", "K", "Er", "Hf", "Te", "Te", "Te", "Te"],
  "frac_coords": [[0.000, 0.000, 0.000], [0.500, 0.500, 0.000], [0.000, 0.500, 0.500], [0.500, 0.000, 0.500], [0.247, 0.000, 0.707], [0.277, 0.500, 0.298], [0.723, 0.500, 0.702], [0.753, 0.000, 0.293]]
}